[1]
Material: AgPd4W
Method: DFT, PBE
State: optimized geometry

```
6
Lattice="-0.350 1.905 -2.011 -3.767 -1.302 -0.578 -2.771 5.493 5.684" Properties=species:S:1:pos:R:3 pbc="T T T"
Ag -1.884 -0.651 -0.289
Pd -2.827 1.217 1.644
Pd -0.671 1.936 0.012
Pd -3.712 2.974 3.461
Pd -6.217 4.160 3.083
W -1.561 3.699 1.836
```

The calculation puts the calculated density at 12.646 g/cm³. Its total moment is 0.00 μB/atom. The energy of formation comes out at -0.0610 eV per atom.

[2]
Material: AgPd3W
Method: DFT, PBE
State: optimized geometry

```
5
Lattice="-3.413 -2.749 1.999 2.598 -3.937 -0.978 2.192 0.386 4.272" Properties=species:S:1:pos:R:3 pbc="T T T"
Pd 1.299 -1.968 -0.489
Pd 1.096 0.193 2.136
Pd -1.707 -1.375 1.000
Ag 0.688 -3.150 2.647
W 0.000 0.000 0.000
```

The calculation puts the calculated density at 9.075 g/cm³. Its total moment is 0.00 μB/atom. The energy of formation comes out at 1.1092 eV per atom. The energy above the most stable polymorph in this dataset is 0.000 eV/atom.

[3]
Material: AgPdW2
Method: DFT, PBE
State: optimized geometry

```
8
Lattice="-0.140 7.083 1.846 -1.860 -1.820 6.843 1.535 2.510 5.001" Properties=species:S:1:pos:R:3 pbc="T T T"
Pd -1.000 2.631 4.344
Pd -0.663 1.661 8.094
Ag 0.000 0.000 0.000
Ag 0.197 6.112 5.596
W 0.066 4.697 3.226
W -0.799 0.505 5.792
W 0.367 3.823 7.135
W -0.565 6.521 11.228
```

The calculation puts the calculated density at 13.756 g/cm³. Its total moment is 0.00 μB/atom. The energy of formation comes out at 1.0734 eV per atom. The energy above the most stable polymorph in this dataset is 0.165 eV/atom.

[4]
Material: Ag3PdW
Method: DFT, PBE
State: optimized geometry

```
5
Lattice="-0.158 2.242 4.497 -2.047 -4.137 1.991 4.589 -1.769 1.043" Properties=species:S:1:pos:R:3 pbc="T T T"
Pd 1.192 -1.832 3.766
Ag -1.024 -2.069 0.996
Ag 2.294 -0.884 0.522
Ag -0.079 1.121 2.248
W 0.000 0.000 0.000
```

The calculation puts the calculated density at 8.023 g/cm³. Its total moment is 0.00 μB/atom. The energy of formation comes out at 1.8691 eV per atom. The energy above the most stable polymorph in this dataset is 0.171 eV/atom.

[5]
Material: Ag2PdW
Method: DFT, PBE
State: optimized geometry

```
8
Lattice="7.388 0.000 0.000 0.000 7.388 0.000 3.694 3.694 2.667" Properties=species:S:1:pos:R:3 pbc="T T T"
Pd 3.694 3.694 0.000
Pd 3.694 7.388 1.334
Ag 5.545 1.847 0.667
Ag 1.843 5.541 0.667
Ag 5.541 5.537 2.001
Ag 9.234 9.238 2.001
W 0.000 0.000 0.000
W 7.388 3.694 1.334
```

The calculation puts the calculated density at 11.544 g/cm³. Its total moment is 0.00 μB/atom. The energy of formation comes out at 1.0652 eV per atom. The energy above the most stable polymorph in this dataset is 0.369 eV/atom.

[6]
Material: Ag3Pd12W
Method: DFT, PBE
State: optimized geometry

```
16
Lattice="-3.371 0.596 2.028 1.942 -0.637 3.414 3.349 15.555 0.996" Properties=species:S:1:pos:R:3 pbc="T T T"
Ag 0.832 3.863 0.247
Ag 1.675 7.778 0.498
Ag 2.518 11.692 0.748
Pd -0.714 -0.020 2.721
Pd 0.111 3.814 2.967
Pd 0.960 7.757 3.219
Pd 1.809 11.700 3.471
Pd -1.293 2.119 1.131
Pd -0.432 6.117 1.387
Pd 0.411 10.034 1.637
Pd 1.272 14.032 1.893
Pd 1.363 1.503 1.824
Pd 2.224 5.501 2.079
Pd 3.067 9.418 2.330
Pd 3.928 13.416 2.586
W 0.000 0.000 0.000
```

The calculation puts the calculated density at 11.740 g/cm³. Its total moment is 0.00 μB/atom. The energy of formation comes out at -0.0406 eV per atom.

[7]
Material: Ag3PdW
Method: DFT, PBE
State: optimized geometry

```
5
Lattice="-1.185 2.103 4.335 -4.603 -1.814 -0.379 1.424 -4.112 2.384" Properties=species:S:1:pos:R:3 pbc="T T T"
Pd 0.000 0.000 0.000
Ag -2.301 -0.907 -0.189
Ag 0.712 -2.056 1.192
Ag -0.593 1.051 2.167
W -2.182 -1.911 3.170
```

The calculation puts the calculated density at 8.346 g/cm³. Its total moment is 0.89 μB/atom. The energy of formation comes out at 1.6976 eV per atom. The energy above the most stable polymorph in this dataset is 0.000 eV/atom.

[8]
Material: Ag2PdW
Method: DFT, PBE
State: optimized geometry

```
4
Lattice="0.000 3.202 3.202 3.202 0.000 3.202 3.202 3.202 0.000" Properties=species:S:1:pos:R:3 pbc="T T T"
Pd 0.000 0.000 0.000
Ag 1.601 1.601 1.601
Ag 4.804 4.804 4.804
W 3.202 3.202 3.202
```

The calculation puts the calculated density at 12.792 g/cm³. Its total moment is 0.00 μB/atom. The energy of formation comes out at 0.6967 eV per atom. The energy above the most stable polymorph in this dataset is 0.000 eV/atom.

[9]
Material: AgPdW2
Method: DFT, PBE
State: optimized geometry

```
4
Lattice="0.000 3.195 3.195 3.195 0.000 3.195 3.195 3.195 0.000" Properties=species:S:1:pos:R:3 pbc="T T T"
Pd 0.000 0.000 0.000
Ag 3.195 3.195 3.195
W 1.597 1.597 1.597
W 4.792 4.792 4.792
```

The calculation puts the calculated density at 14.822 g/cm³. Its total moment is 0.00 μB/atom. The energy of formation comes out at 0.9081 eV per atom. The energy above the most stable polymorph in this dataset is 0.000 eV/atom.

[10]
Material: YAg3Pd2
Method: DFT, PBE
State: optimized geometry

```
12
Lattice="-2.287 -4.530 -1.130 5.105 -0.262 -0.948 2.817 -5.185 7.136" Properties=species:S:1:pos:R:3 pbc="T T T"
Y -0.653 -5.290 0.676
Y 6.289 -4.687 4.381
Ag 2.150 -5.929 1.680
Ag 0.230 -2.522 -0.236
Ag 3.486 -4.048 3.377
Ag 5.406 -7.455 5.293
Ag 3.036 -3.159 0.767
Ag 2.599 -6.818 4.290
Pd 1.678 -4.988 -1.080
Pd 0.707 -3.460 2.524
Pd 3.957 -4.989 6.137
Pd 4.929 -6.517 2.533
```

The calculation puts the calculated density at 9.367 g/cm³. Its total moment is 0.00 μB/atom. The energy of formation comes out at -0.3484 eV per atom.

[11]
Material: Y2Ag2Pd
Method: DFT, PBE
State: optimized geometry

```
5
Lattice="4.382 0.001 -1.432 -2.416 3.926 -0.036 -0.165 -0.073 6.882" Properties=species:S:1:pos:R:3 pbc="T T T"
Y 2.526 1.575 0.292
Y -0.725 2.279 5.122
Ag 0.906 0.577 2.754
Ag 0.895 3.277 2.660
Pd 0.000 0.000 0.000
```

The calculation puts the calculated density at 7.083 g/cm³. Its total moment is 0.00 μB/atom. The energy of formation comes out at -0.4274 eV per atom. The energy above the most stable polymorph in this dataset is 0.000 eV/atom.

[12]
Material: YAg2Pd5
Method: DFT, PBE
State: optimized geometry

```
16
Lattice="7.160 0.000 0.000 0.000 7.160 0.000 -3.580 -3.580 5.561" Properties=species:S:1:pos:R:3 pbc="T T T"
Y 3.580 3.580 2.781
Y 0.000 0.000 2.781
Ag 1.068 2.512 0.000
Ag 4.649 1.068 0.000
Ag 2.512 6.092 0.000
Ag 6.092 4.649 0.000
Pd 1.030 2.550 3.723
Pd 4.610 -1.030 1.838
Pd 0.000 0.000 0.000
Pd 3.580 3.580 0.000
Pd -1.030 4.610 3.723
Pd 2.550 -1.030 3.723
Pd 4.610 1.030 3.723
Pd 1.030 4.610 1.838
Pd -1.030 2.550 1.838
Pd 2.550 1.030 1.838
```

The calculation puts the calculated density at 9.747 g/cm³. Its total moment is 0.00 μB/atom. The energy of formation comes out at -0.2800 eV per atom. The energy above the most stable polymorph in this dataset is 0.156 eV/atom.

- Among the records above, which one has the highest total moment?
  number 7

- Which formula does entry 8 have?
  Ag2PdW